Density functional theory data (GGA-PBE) for an optimized crystal structure of TaBiO3.

Lattice parameters (Å, degrees): 4.0559 4.0559 4.0897 90.00 90.00 90.00
Element x y z (fractional)
1 Ta 0.0000 0.0000 0.0000
2 Bi 0.5000 0.5000 0.4956
3 O 0.0000 0.0000 0.5022
4 O 0.0000 0.5000 0.0021
5 O 0.5000 0.0000 0.0021

Calculated values
- raw total energy (eV for the cell shown) = -39.3

***

Density functional theory data (GGA-PBE) for an optimized crystal structure of LiLaZnTe3.

Lattice parameters (Å, degrees): 4.4788 12.8498 12.8835 89.84 86.66 89.44
Element x y z (fractional)
1 Li 0.0000 0.0000 0.0000
2 Li 0.0802 0.5024 0.4883
3 Li 0.4788 0.7423 0.4967
4 Li 0.5772 0.2439 0.9868
5 La 0.0242 0.5920 0.8097
6 La 0.0339 0.0908 0.6764
7 La 0.5338 0.1579 0.3094
8 La 0.5378 0.6568 0.1742
9 Zn 0.0267 0.3822 0.2036
10 Zn 0.0384 0.8837 0.2825
11 Zn 0.5204 0.3645 0.7043
12 Zn 0.5435 0.8660 0.7793
13 Te 0.0072 0.6910 0.3592
14 Te 0.0219 0.0264 0.4255
15 Te 0.0559 0.5267 0.0582
16 Te 0.0566 0.1915 0.1248
17 Te 0.0673 0.8328 0.6648
18 Te 0.4997 0.4169 0.3197
19 Te 0.5081 0.7234 0.9253
20 Te 0.5117 0.0549 0.8598
21 Te 0.5405 0.2233 0.5601
22 Te 0.5553 0.5559 0.6254
23 Te 0.5663 0.9159 0.1656
24 Te 0.9948 0.3327 0.8209

Calculated values
- raw total energy (eV for the cell shown) = -94.3

***

Density functional theory data (GGA-PBE) for an optimized crystal structure of HfBeAgAu.

Lattice parameters (Å, degrees): 6.4326 6.4326 6.4326 90.00 90.00 90.00
Element x y z (fractional)
1 Hf 0.0000 0.0000 0.0000
2 Hf 0.0000 0.5000 0.5000
3 Hf 0.5000 0.0000 0.5000
4 Hf 0.5000 0.5000 0.0000
5 Be 0.0000 0.0000 0.5000
6 Be 0.0000 0.5000 0.0000
7 Be 0.5000 0.0000 0.0000
8 Be 0.5000 0.5000 0.5000
9 Ag 0.2500 0.2500 0.7500
10 Ag 0.2500 0.7500 0.2500
11 Ag 0.7500 0.2500 0.2500
12 Ag 0.7500 0.7500 0.7500
13 Au 0.2500 0.2500 0.2500
14 Au 0.2500 0.7500 0.7500
15 Au 0.7500 0.2500 0.7500
16 Au 0.7500 0.7500 0.2500

Calculated values
- raw total energy (eV for the cell shown) = -80.6

***

Density functional theory data (GGA-PBE) for an optimized crystal structure of Sc2AgOs3.

Lattice parameters (Å, degrees): 3.1664 3.1664 9.9928 90.00 90.00 90.00
Element x y z (fractional)
1 Sc 0.0000 0.0000 0.0000
2 Sc 0.5000 0.5000 0.4948
3 Ag 0.5000 0.5000 0.8099
4 Os 0.0000 0.0000 0.3244
5 Os 0.0000 0.0000 0.6369
6 Os 0.5000 0.5000 0.1806

Calculated values
- formation enthalpy at 0 K (eV per atom) = 0.12
- raw total energy (eV for the cell shown) = -48.4

***

Density functional theory data (GGA-PBE) for an optimized crystal structure of K2RbPb3Au2.

Lattice parameters (Å, degrees): 13.3028 4.8315 9.3804 90.00 110.98 90.00
Element x y z (fractional)
1 K 0.0000 0.0000 0.0000
2 K 0.0965 0.0000 0.4363
3 K 0.5000 0.5000 0.0000
4 K 0.5965 0.5000 0.4363
5 Rb 0.4353 0.0000 0.6034
6 Rb 0.9353 0.5000 0.6034
7 Pb 0.1933 0.5000 0.9325
8 Pb 0.2462 0.5000 0.3037
9 Pb 0.3530 0.0000 0.1740
10 Pb 0.6933 0.0000 0.9325
11 Pb 0.7462 0.0000 0.3037
12 Pb 0.8530 0.5000 0.1740
13 Au 0.2641 0.0000 0.8187
14 Au 0.2650 0.5000 0.6526
15 Au 0.7641 0.5000 0.8187
16 Au 0.7650 0.0000 0.6526

Calculated values
- raw total energy (eV for the cell shown) = -44.6

***

Density functional theory data (GGA-PBE) for an optimized crystal structure of Dy2AlNi2.

Lattice parameters (Å, degrees): 4.3526 5.3742 7.6587 90.00 90.00 90.00
Element x y z (fractional)
1 Dy 0.0000 0.0000 0.2047
2 Dy 0.0000 0.0000 0.7953
3 Dy 0.5000 0.5000 0.2953
4 Dy 0.5000 0.5000 0.7047
5 Al 0.0000 0.5000 0.0000
6 Al 0.5000 0.0000 0.5000
7 Ni 0.0000 0.2694 0.5000
8 Ni 0.0000 0.7306 0.5000
9 Ni 0.5000 0.2306 0.0000
10 Ni 0.5000 0.7694 0.0000

Calculated values
- raw total energy (eV for the cell shown) = -53.3

***

Density functional theory data (GGA-PBE) for an optimized crystal structure of Mg6CdAu.

Lattice parameters (Å, degrees): 6.2087 6.2087 4.8868 90.00 90.00 120.00
Element x y z (fractional)
1 Mg 0.0030 0.5015 0.0000
2 Mg 0.3215 0.1608 0.5000
3 Mg 0.4985 0.5015 0.0000
4 Mg 0.4985 0.9970 0.0000
5 Mg 0.8392 0.1608 0.5000
6 Mg 0.8392 0.6785 0.5000
7 Cd 0.3333 0.6667 0.5000
8 Au 0.0000 0.0000 0.0000

Calculated values
- raw total energy (eV for the cell shown) = -15.1

***

Density functional theory data (GGA-PBE) for an optimized crystal structure of HoInPt2.

Lattice parameters (Å, degrees): 4.5734 4.5734 8.9973 90.00 90.00 120.00
Element x y z (fractional)
1 Ho 0.3333 0.6667 0.2500
2 Ho 0.6667 0.3333 0.7500
3 In 0.0000 0.0000 0.0000
4 In 0.0000 0.0000 0.5000
5 Pt 0.3333 0.6667 0.5928
6 Pt 0.3333 0.6667 0.9072
7 Pt 0.6667 0.3333 0.0928
8 Pt 0.6667 0.3333 0.4072

Calculated values
- raw total energy (eV for the cell shown) = -46.6

***

Density functional theory data (GGA-PBE) for an optimized crystal structure of HoEr2Cd5.

Lattice parameters (Å, degrees): 5.0626 7.4275 10.3061 90.00 90.00 90.00
Element x y z (fractional)
1 Ho 0.0000 0.0000 0.0000
2 Ho 0.0000 0.5000 0.5000
3 Er 0.0000 0.0000 0.4680
4 Er 0.0000 0.5000 0.9680
5 Er 0.5000 0.0000 0.7427
6 Er 0.5000 0.5000 0.2427
7 Cd 0.0000 0.2407 0.7327
8 Cd 0.0000 0.2593 0.2327
9 Cd 0.0000 0.7407 0.2327
10 Cd 0.0000 0.7593 0.7327
11 Cd 0.5000 0.0000 0.2401
12 Cd 0.5000 0.2470 0.4934
13 Cd 0.5000 0.2530 0.9934
14 Cd 0.5000 0.5000 0.7401
15 Cd 0.5000 0.7470 0.9934
16 Cd 0.5000 0.7530 0.4934

Calculated values
- formation enthalpy at 0 K (eV per atom) = -0.29
- raw total energy (eV for the cell shown) = -41.0

***

Density functional theory data (GGA-PBE) for an optimized crystal structure of ZrTl2PbSe4.

Lattice parameters (Å, degrees): 9.0813 9.0813 7.0770 106.70 106.70 56.11
Element x y z (fractional)
1 Zr 0.1237 0.8763 0.7500
2 Zr 0.8763 0.1237 0.2500
3 Tl 0.1260 0.3776 0.7703
4 Tl 0.3776 0.1260 0.2703
5 Tl 0.6224 0.8740 0.7297
6 Tl 0.8740 0.6224 0.2297
7 Pb 0.3771 0.6229 0.2500
8 Pb 0.6229 0.3771 0.7500
9 Se 0.0045 0.7951 0.9968
10 Se 0.2049 0.9955 0.5032
11 Se 0.2355 0.5462 0.5317
12 Se 0.4538 0.7645 0.9683
13 Se 0.5462 0.2355 0.0317
14 Se 0.7645 0.4538 0.4683
15 Se 0.7951 0.0045 0.4968
16 Se 0.9955 0.2049 0.0032

Calculated values
- raw total energy (eV for the cell shown) = -75.0

***

Density functional theory data (GGA-PBE) for an optimized crystal structure of LuMgAu2.

Lattice parameters (Å, degrees): 4.8092 4.8092 8.3658 90.00 90.00 120.00
Element x y z (fractional)
1 Lu 0.0000 0.0000 0.0000
2 Lu 0.0000 0.0000 0.5000
3 Mg 0.3333 0.6667 0.2500
4 Mg 0.6667 0.3333 0.7500
5 Au 0.3333 0.6667 0.5861
6 Au 0.3333 0.6667 0.9139
7 Au 0.6667 0.3333 0.0861
8 Au 0.6667 0.3333 0.4139

Calculated values
- raw total energy (eV for the cell shown) = -30.5

***

Density functional theory data (GGA-PBE) for an optimized crystal structure of MgCdSeO.

Lattice parameters (Å, degrees): 3.7627 3.7627 11.1072 90.00 90.00 90.00
Element x y z (fractional)
1 Mg 0.2500 0.2500 0.0857
2 Mg 0.7500 0.7500 0.9143
3 Cd 0.2500 0.7500 0.5000
4 Cd 0.7500 0.2500 0.5000
5 Se 0.2500 0.2500 0.6806
6 Se 0.7500 0.7500 0.3194
7 O 0.2500 0.2500 0.9137
8 O 0.7500 0.7500 0.0863

Calculated values
- raw total energy (eV for the cell shown) = -27.4

***

Density functional theory data (GGA-PBE) for an optimized crystal structure of SrZrBeNi.

Lattice parameters (Å, degrees): 6.8257 6.8257 6.8257 90.00 90.00 90.00
Element x y z (fractional)
1 Sr 0.0000 0.0000 0.0000
2 Sr 0.0000 0.5000 0.5000
3 Sr 0.5000 0.0000 0.5000
4 Sr 0.5000 0.5000 0.0000
5 Zr 0.0000 0.0000 0.5000
6 Zr 0.0000 0.5000 0.0000
7 Zr 0.5000 0.0000 0.0000
8 Zr 0.5000 0.5000 0.5000
9 Be 0.2500 0.2500 0.7500
10 Be 0.2500 0.7500 0.2500
11 Be 0.7500 0.2500 0.2500
12 Be 0.7500 0.7500 0.7500
13 Ni 0.2500 0.2500 0.2500
14 Ni 0.2500 0.7500 0.7500
15 Ni 0.7500 0.2500 0.7500
16 Ni 0.7500 0.7500 0.2500

Calculated values
- raw total energy (eV for the cell shown) = -72.4

***

Density functional theory data (GGA-PBE) for an optimized crystal structure of CuSbPtW.

Lattice parameters (Å, degrees): 6.4864 6.4864 6.4864 90.00 90.00 90.00
Element x y z (fractional)
1 Cu 0.0000 0.0000 0.0000
2 Cu 0.0000 0.5000 0.5000
3 Cu 0.5000 0.0000 0.5000
4 Cu 0.5000 0.5000 0.0000
5 Sb 0.2500 0.2500 0.7500
6 Sb 0.2500 0.7500 0.2500
7 Sb 0.7500 0.2500 0.2500
8 Sb 0.7500 0.7500 0.7500
9 Pt 0.0000 0.0000 0.5000
10 Pt 0.0000 0.5000 0.0000
11 Pt 0.5000 0.0000 0.0000
12 Pt 0.5000 0.5000 0.5000
13 W 0.2500 0.2500 0.2500
14 W 0.2500 0.7500 0.7500
15 W 0.7500 0.2500 0.7500
16 W 0.7500 0.7500 0.2500

Calculated values
- raw total energy (eV for the cell shown) = -98.5

***

Density functional theory data (GGA-PBE) for an optimized crystal structure of Er4InIr.

Lattice parameters (Å, degrees): 9.5701 9.5701 9.5701 60.00 60.00 60.00
Element x y z (fractional)
1 Er 0.1896 0.1896 0.8104
2 Er 0.1896 0.8104 0.1896
3 Er 0.1896 0.8104 0.8104
4 Er 0.4005 0.4005 0.4005
5 Er 0.4005 0.4005 0.7985
6 Er 0.4005 0.7985 0.4005
7 Er 0.5587 0.5587 0.9413
8 Er 0.5587 0.9413 0.5587
9 Er 0.5587 0.9413 0.9413
10 Er 0.7985 0.4005 0.4005
11 Er 0.8104 0.1896 0.1896
12 Er 0.8104 0.1896 0.8104
13 Er 0.8104 0.8104 0.1896
14 Er 0.9413 0.5587 0.5587
15 Er 0.9413 0.5587 0.9413
16 Er 0.9413 0.9413 0.5587
17 In 0.1668 0.1668 0.1668
18 In 0.1668 0.1668 0.4996
19 In 0.1668 0.4996 0.1668
20 In 0.4996 0.1668 0.1668
21 Ir 0.1741 0.6086 0.6086
22 Ir 0.6086 0.1741 0.6086
23 Ir 0.6086 0.6086 0.1741
24 Ir 0.6086 0.6086 0.6086

Calculated values
- raw total energy (eV for the cell shown) = -133.9

***

Density functional theory data (GGA-PBE) for an optimized crystal structure of GdY2Sb3.

Lattice parameters (Å, degrees): 4.3983 4.3983 10.7660 90.00 90.00 120.00
Element x y z (fractional)
1 Gd 0.0000 0.0000 0.0000
2 Y 0.3333 0.6667 0.6661
3 Y 0.6667 0.3333 0.3339
4 Sb 0.0000 0.0000 0.5000
5 Sb 0.3333 0.6667 0.1683
6 Sb 0.6667 0.3333 0.8317

Calculated values
- raw total energy (eV for the cell shown) = -36.9

***

Density functional theory data (GGA-PBE) for an optimized crystal structure of InFeOsPt.

Lattice parameters (Å, degrees): 6.3533 6.3533 6.3533 90.00 90.00 90.00
Element x y z (fractional)
1 In 0.0000 0.0000 0.0000
2 In 0.0000 0.5000 0.5000
3 In 0.5000 0.0000 0.5000
4 In 0.5000 0.5000 0.0000
5 Fe 0.2500 0.2500 0.2500
6 Fe 0.2500 0.7500 0.7500
7 Fe 0.7500 0.2500 0.7500
8 Fe 0.7500 0.7500 0.2500
9 Os 0.0000 0.0000 0.5000
10 Os 0.0000 0.5000 0.0000
11 Os 0.5000 0.0000 0.0000
12 Os 0.5000 0.5000 0.5000
13 Pt 0.2500 0.2500 0.7500
14 Pt 0.2500 0.7500 0.2500
15 Pt 0.7500 0.2500 0.2500
16 Pt 0.7500 0.7500 0.7500

Calculated values
- raw total energy (eV for the cell shown) = -108.2

***

Density functional theory data (GGA-PBE) for an optimized crystal structure of LiZrSb.

Lattice parameters (Å, degrees): 6.6051 6.6051 6.6051 90.00 90.00 90.00
Element x y z (fractional)
1 Li 0.0000 0.0000 0.0000
2 Li 0.0000 0.5000 0.5000
3 Li 0.5000 0.0000 0.5000
4 Li 0.5000 0.5000 0.0000
5 Zr 0.0000 0.0000 0.5000
6 Zr 0.0000 0.5000 0.0000
7 Zr 0.5000 0.0000 0.0000
8 Zr 0.5000 0.5000 0.5000
9 Sb 0.2500 0.2500 0.2500
10 Sb 0.2500 0.7500 0.7500
11 Sb 0.7500 0.2500 0.7500
12 Sb 0.7500 0.7500 0.2500

Calculated values
- raw total energy (eV for the cell shown) = -61.1

***

Density functional theory data (GGA-PBE) for an optimized crystal structure of TbGdIn2Pd4.

Lattice parameters (Å, degrees): 4.6144 4.6144 8.9789 90.00 90.00 120.00
Element x y z (fractional)
1 Tb 0.0000 0.0000 0.0000
2 Gd 0.3333 0.6667 0.5000
3 In 0.6667 0.3333 0.2495
4 In 0.6667 0.3333 0.7505
5 Pd 0.0000 0.0000 0.3354
6 Pd 0.0000 0.0000 0.6646
7 Pd 0.3333 0.6667 0.1631
8 Pd 0.3333 0.6667 0.8369

Calculated values
- raw total energy (eV for the cell shown) = -42.0

***

Density functional theory data (GGA-PBE) for an optimized crystal structure of Li4ZnNiPb2.

Lattice parameters (Å, degrees): 4.5121 4.5121 6.5010 90.00 90.00 90.00
Element x y z (fractional)
1 Li 0.0000 0.0000 0.0000
2 Li 0.0000 0.5000 0.2426
3 Li 0.5000 0.0000 0.7574
4 Li 0.5000 0.5000 0.5000
5 Zn 0.0000 0.0000 0.5000
6 Ni 0.5000 0.5000 0.0000
7 Pb 0.0000 0.5000 0.7681
8 Pb 0.5000 0.0000 0.2319

Calculated values
- raw total energy (eV for the cell shown) = -23.6